1.
A relaxed structure of PuCu2I6. Source: Alexandria via LeMat-Bulk, functional PBE-GGA.

Computed properties:
Formation energy (no corrections) in meV per atom: -525.1
Calculated volume in A^3/atom: 43.023

abc: 16.1660 12.9154 7.4759
angles: 90.00 97.13 90.00
Space group C2/c (No. 15)
Asymmetric unit:
Pu  0.0000  0.0971  0.2500 [4 per cell]
Cu  0.1297  0.4254  0.3083 [8 per cell]
I  0.1094  0.0751  0.6121 [8 per cell]
I  0.1222  0.2558  0.1349 [8 per cell]
I  0.1353  0.4067  0.6453 [8 per cell]

---

2.
A relaxed structure of Ti4Zn5Cu2. Source: Alexandria via LeMat-Bulk, functional PBE-GGA.

Computed properties:
Uncorrected energy in eV per atom: -4.3242
Calculated volume in A^3/atom: 14.910

abc: 6.8596 2.6428 9.0681
angles: 90.00 93.91 90.00
Space group P2/m (No. 10)
Asymmetric unit:
Ti  0.1462  0.0000  0.3893 [2 per cell]
Ti  0.2821  0.0000  0.9498 [2 per cell]
Zn  0.2064  0.5000  0.6700 [2 per cell]
Zn  0.4272  0.5000  0.2111 [2 per cell]
Zn  0.5000  0.5000  0.5000 [1 per cell]
Cu  0.0547  0.5000  0.1353 [2 per cell]

---

3.
A relaxed structure of Nd2HgI. Source: Alexandria via LeMat-Bulk, functional PBE-GGA.

Computed properties:
Formation energy (no corrections) in meV per atom: -633.6
Calculated volume in A^3/atom: 32.622

abc: 4.4079 4.4079 23.2643
angles: 90.00 90.00 120.00
Space group R-3m (No. 166, hexagonal axes)
Asymmetric unit:
Nd  0.0000  0.0000  0.2432 [6 per cell]
Hg  0.0000  0.0000  0.5000 [3 per cell]
I  0.0000  0.0000  0.0000 [3 per cell]

---

4.
A relaxed structure of Li4InRh. Source: Alexandria via LeMat-Bulk, functional PBE-GGA.

Computed properties:
Uncorrected energy in eV per atom: -3.1073
Calculated volume in A^3/atom: 15.983

abc: 2.7157 4.5059 7.8392
angles: 90.00 91.41 90.00
Space group P2/m (No. 10)
Asymmetric unit:
Li  0.0456  0.0000  0.3055 [2 per cell]
Li  0.1496  0.5000  0.8536 [2 per cell]
In  0.5000  0.5000  0.5000 [1 per cell]
Rh  0.5000  0.0000  0.0000 [1 per cell]

---

5.
A relaxed structure of Hf3In2Hg2. Source: Alexandria via LeMat-Bulk, functional PBE-GGA.

Computed properties:
Uncorrected energy in eV per atom: -5.0632
Calculated volume in A^3/atom: 23.710

abc: 4.4628 10.3192 14.4158
angles: 90.00 90.00 90.00
Space group Cmce (No. 64)
Asymmetric unit:
Hf  0.0000  0.0000  0.0000 [4 per cell]
Hf  0.0000  0.2071  0.4287 [8 per cell]
In  0.0000  0.0935  0.6278 [8 per cell]
Hg  0.0000  0.1135  0.1887 [8 per cell]

---

6.
A relaxed structure of SnIr2W. Source: Alexandria via LeMat-Bulk, functional PBE-GGA.

Computed properties:
Uncorrected energy in eV per atom: -8.0277
Calculated volume in A^3/atom: 24.531

abc: 5.8136 5.8136 11.6130
angles: 90.00 90.00 90.00
Space group I-42d (No. 122)
Asymmetric unit:
Sn  0.0000  0.0000  0.0000 [4 per cell]
Ir  0.2245  0.2500  0.6250 [8 per cell]
W  0.0000  0.0000  0.5000 [4 per cell]

---

7.
A relaxed structure of BeSbW. Source: Alexandria via LeMat-Bulk, functional PBE-GGA.

Computed properties:
Formation energy (no corrections) in meV per atom: 998.0
Calculated volume in A^3/atom: 19.496

abc: 6.1618 6.1618 6.1618
angles: 90.00 90.00 90.00
Space group F-43m (No. 216)
Asymmetric unit:
Be  0.0000  0.0000  0.0000 [4 per cell]
Sb  0.0000  0.0000  0.5000 [4 per cell]
W  0.2500  0.2500  0.2500 [4 per cell]

---

8.
A relaxed structure of MnReW2. Source: Alexandria via LeMat-Bulk, functional PBE-GGA.

Computed properties:
Uncorrected energy in eV per atom: -11.5283
Calculated volume in A^3/atom: 14.832

abc: 2.7770 2.7770 26.6501
angles: 90.00 90.00 120.00
Space group R-3m (No. 166, hexagonal axes)
Asymmetric unit:
Mn  0.0000  0.0000  0.0000 [3 per cell]
Re  0.0000  0.0000  0.5000 [3 per cell]
W  0.0000  0.0000  0.2542 [6 per cell]

---

9.
A relaxed structure of Hf3Sb2Rh. Source: Alexandria via LeMat-Bulk, functional PBE-GGA.

Computed properties:
Formation energy (no corrections) in meV per atom: -533.1
Calculated volume in A^3/atom: 21.402

abc: 11.6856 4.1075 10.7015
angles: 90.00 90.00 90.00
Space group Pnma (No. 62)
Asymmetric unit:
Hf  0.0699  0.2500  0.0936 [4 per cell]
Hf  0.1219  0.7500  0.5382 [4 per cell]
Hf  0.2318  0.7500  0.2454 [4 per cell]
Sb  0.0236  0.2500  0.7220 [4 per cell]
Sb  0.1918  0.7500  0.9597 [4 per cell]
Rh  0.0992  0.2500  0.3623 [4 per cell]

---

10.
A relaxed structure of Pm4Tm5Tl. Source: Alexandria via LeMat-Bulk, functional PBE-GGA.

Computed properties:
Uncorrected energy in eV per atom: -4.4299
Calculated volume in A^3/atom: 31.150

abc: 3.5955 3.5955 24.0955
angles: 90.00 90.00 90.00
Space group P4/mmm (No. 123)
Asymmetric unit:
Pm  0.0000  0.0000  0.1033 [2 per cell]
Pm  0.0000  0.0000  0.3117 [2 per cell]
Tm  0.5000  0.5000  0.0000 [1 per cell]
Tm  0.5000  0.5000  0.2063 [2 per cell]
Tm  0.5000  0.5000  0.4143 [2 per cell]
Tl  0.0000  0.0000  0.5000 [1 per cell]

---

11.
A relaxed structure of MgZrC. Source: Alexandria via LeMat-Bulk, functional PBE-GGA.

Computed properties:
Uncorrected energy in eV per atom: -6.5676
Calculated volume in A^3/atom: 17.327

abc: 3.3863 3.3863 31.4057
angles: 90.00 90.00 120.00
Space group R-3m (No. 166, hexagonal axes)
Asymmetric unit:
Mg  0.0000  0.0000  0.1235 [6 per cell]
Zr  0.0000  0.0000  0.3806 [6 per cell]
C  0.0000  0.0000  0.2530 [6 per cell]

---

12.
A relaxed structure of LuUB4. Source: Alexandria via LeMat-Bulk, functional PBE-GGA.

Computed properties:
Uncorrected energy in eV per atom: -6.6973
Calculated volume in A^3/atom: 12.145

abc: 6.6304 6.6304 6.6304
angles: 90.00 90.00 90.00
Space group F-43m (No. 216)
Asymmetric unit:
Lu  0.0000  0.0000  0.0000 [4 per cell]
U  0.2500  0.2500  0.2500 [4 per cell]
B  0.0943  0.0943  0.5943 [16 per cell]